Record 1
Compound: Hf4Tc2Os
Source: the Alexandria database
Functional: GGA-PBE
Structure: relaxed

Unit cell a=5.5982 b=5.5982 c=5.5982 alpha=109.80 beta=109.80 gamma=108.82
Last column: nearest neighbours and their distance in Å.
Fractional coordinates of all 7 atoms:
1 Hf 0.0000 0.0000 0.5000  4 Tc 2.80, 2 Os 2.80
2 Hf 0.0000 0.5000 0.0000  4 Tc 2.80, 2 Os 2.80
3 Hf 0.5000 0.0000 0.0000  4 Tc 2.80, 2 Os 2.80
4 Hf 0.5000 0.5000 0.5000  4 Tc 2.80, 2 Os 2.80
5 Tc 0.0000 0.5000 0.5000  8 Hf 2.80
6 Tc 0.5000 0.0000 0.5000  8 Hf 2.80
7 Os 0.0000 0.0000 0.0000  8 Hf 2.80

Summary:
Space-group type ... I4/mmm
E_form ... -352 meV per atom
Crystal system ... tetragonal
Calculated volume ... 135 Å³/f.u.
Electronic total energy ... -10.606 eV per atom

=====

Record 2
Compound: InMoPt2C
Source: the Alexandria database
Functional: GGA-PBE
Structure: relaxed

Unit cell a=4.2549 b=4.2549 c=4.1979 alpha=90.00 beta=90.00 gamma=90.00
Last column: nearest neighbours and their distance in Å.
Fractional coordinates of all 5 atoms:
1 In 0.0000 0.0000 0.0000  8 Pt 2.99, 4 Mo 3.01
2 Mo 0.5000 0.5000 0.0000  2 C 2.10
3 Pt 0.0000 0.5000 0.5000  2 C 2.13
4 Pt 0.5000 0.0000 0.5000  2 C 2.13
5 C 0.5000 0.5000 0.5000  2 Mo 2.10, 4 Pt 2.13

Summary:
Space-group type ... P4/mmm
E_form ... 135 meV per atom
Crystal system ... tetragonal
Calculated volume ... 76 Å³/f.u.
Electronic total energy ... -6.840 eV per atom

=====

Record 3
Compound: La2YSi
Source: the Alexandria database
Functional: GGA-PBE
Structure: relaxed

Unit cell a=3.6799 b=5.4179 c=6.0432 alpha=90.00 beta=104.24 gamma=90.00
Last column: nearest neighbours and their distance in Å.
Fractional coordinates of all 4 atoms:
1 La 0.1610 0.0000 0.2864  3 La 3.09-3.37, 2 Si 3.12
2 La 0.8390 0.0000 0.7136  3 La 3.09-3.37, 2 Si 3.12
3 Y 0.5000 0.5000 0.0000  2 Si 3.13
4 Si 0.0000 0.5000 0.5000  4 La 3.12, 2 Y 3.13

Summary:
Space-group type ... P2/m
Formation energy from raw total energies ... -0.112 eV per atom
Crystal system ... monoclinic
Calculated volume ... 117 Å³/f.u.
Electronic total energy ... -5.548 eV per atom

=====

Record 4
Compound: Li2ErMg8
Source: the Alexandria database
Functional: GGA-PBE
Structure: relaxed

Unit cell a=8.9307 b=8.9307 c=5.3059 alpha=107.20 beta=107.20 gamma=125.52
Last column: nearest neighbours and their distance in Å.
Fractional coordinates of all 11 atoms:
1 Li 0.1756 0.8244 0.0000  12 Mg 3.08-3.36
2 Li 0.8244 0.1756 0.0000  12 Mg 3.08-3.36
3 Er 0.5000 0.5000 0.5000  6 Mg 3.22-3.38
4 Mg 0.0010 0.0010 0.7547  2 Mg 2.61-2.69
5 Mg 0.1329 0.3997 0.7660  6 Mg 2.92-3.23, 2 Li 3.20-3.21
6 Mg 0.2974 0.7026 0.5000  6 Mg 3.09-3.23, 4 Li 3.15-3.28, 1 Er 3.22
7 Mg 0.3997 0.1329 0.7660  6 Mg 2.92-3.23, 2 Li 3.20-3.21
8 Mg 0.6003 0.8671 0.2340  6 Mg 2.92-3.23, 2 Li 3.20-3.21
9 Mg 0.7026 0.2974 0.5000  6 Mg 3.09-3.23, 4 Li 3.15-3.28, 1 Er 3.22
10 Mg 0.8671 0.6003 0.2340  6 Mg 2.92-3.23, 2 Li 3.20-3.21
11 Mg 0.9990 0.9990 0.2453  2 Mg 2.61-2.69

Summary:
Space-group type ... C2/m
E_form ... 50 meV per atom
Crystal system ... monoclinic
Calculated volume ... 263 Å³/f.u.
Electronic total energy ... -1.872 eV per atom

=====

Record 5
Compound: PmTiSe
Source: the Alexandria database
Functional: GGA-PBE
Structure: relaxed

Unit cell a=3.9837 b=3.9837 c=7.9895 alpha=90.00 beta=90.00 gamma=90.00
Last column: nearest neighbours and their distance in Å.
Fractional coordinates of all 6 atoms:
1 Pm 0.2500 0.2500 0.1455  5 Se 2.98-3.31
2 Pm 0.7500 0.7500 0.8545  5 Se 2.98-3.31
3 Ti 0.2500 0.7500 0.5000  4 Se 2.72, 4 Ti 2.82
4 Ti 0.7500 0.2500 0.5000  4 Se 2.72, 4 Ti 2.82
5 Se 0.2500 0.2500 0.7317  4 Ti 2.72, 4 Pm 2.98
6 Se 0.7500 0.7500 0.2683  4 Ti 2.72, 4 Pm 2.98

Summary:
Space-group type ... P4/nmm
Formation energy from raw total energies ... -0.991 eV per atom
Crystal system ... tetragonal
Calculated volume ... 63 Å³/f.u.
Electronic total energy ... -6.368 eV per atom

=====

Record 6
Compound: HoTmOsAu
Source: the Alexandria database
Functional: GGA-PBE
Structure: relaxed

Unit cell a=4.8988 b=4.8988 c=4.8988 alpha=60.00 beta=60.00 gamma=60.00
Last column: nearest neighbours and their distance in Å.
Fractional coordinates of all 4 atoms:
1 Ho 0.0000 0.0000 0.0000  4 Os 3.00, 4 Au 3.00
2 Tm 0.5000 0.5000 0.5000  4 Os 3.00, 4 Au 3.00
3 Os 0.7500 0.7500 0.7500  4 Tm 3.00, 4 Ho 3.00
4 Au 0.2500 0.2500 0.2500  4 Ho 3.00, 4 Tm 3.00

Summary:
Space-group type ... F-43m
E_form ... -524 meV per atom
Crystal system ... cubic
Calculated volume ... 83 Å³/f.u.
Electronic total energy ... -6.413 eV per atom